No. 1
VASP calculation (SCAN) on a crystal of Li7V4P6O24 relaxed with PBEsol.

Summary:
- E (eV/cell) = -404.88

Cell and atoms, written as POSCAR:
```
Li7V4P6O24
1.0
-1.711 8.494 0.338
-6.868 3.148 4.263
0.827 4.573 7.317
Li V P O
7 4 6 24
Cartesian
-3.950 8.367 9.394 Li
-0.659 6.879 5.879 Li
-4.875 4.794 5.941 Li
-3.928 8.084 5.992 Li
-2.864 11.383 5.956 Li
-7.098 9.339 6.029 Li
-3.793 7.831 2.515 Li
-4.974 10.411 7.650 V
-2.766 5.789 4.255 V
-6.550 13.701 10.070 V
-1.191 2.495 1.834 V
-2.589 5.233 7.444 P
-1.852 9.756 8.234 P
-6.539 7.609 8.122 P
-1.202 8.591 3.778 P
-5.890 6.438 3.670 P
-5.151 10.961 4.460 P
-4.821 10.207 9.684 O
-5.902 7.936 3.306 O
-1.481 5.524 8.478 O
-4.120 12.247 7.357 O
-4.040 5.411 7.936 O
-6.962 10.849 7.423 O
-6.306 6.461 9.126 O
-1.839 8.256 8.596 O
-2.462 6.205 6.237 O
-0.556 10.317 7.614 O
-3.032 9.909 7.234 O
-6.999 7.194 6.710 O
-5.209 8.385 7.887 O
-2.523 7.805 4.003 O
-0.743 9.003 5.192 O
-7.188 5.879 4.290 O
-4.712 6.287 4.676 O
-5.281 9.988 5.667 O
-1.435 9.743 2.779 O
-0.769 5.366 4.471 O
-3.700 10.786 3.969 O
-3.620 3.947 4.547 O
-6.260 10.671 3.427 O
-2.919 5.983 2.222 O
```

=====

No. 2
VASP calculation (SCAN) on a crystal of LiVP2O7 relaxed with PBEsol.

Summary:
- E (eV/cell) = -224.27

Cell and atoms, written as POSCAR:
```
LiVP2O7
1.0
-4.474 3.995 -1.283
-1.118 -4.657 -3.151
-4.516 -3.081 6.154
Li V P O
2 2 4 14
Cartesian
-5.268 -3.272 0.508 Li
-2.998 0.787 -1.299 Li
-2.921 -3.544 -2.079 V
-6.436 0.313 2.777 V
-5.520 -6.236 1.373 P
-2.440 -1.901 -0.111 P
-7.569 -1.773 1.695 P
-4.824 2.333 0.669 P
-7.216 -3.208 1.345 O
-3.525 -2.987 -0.098 O
-5.591 -2.039 5.353 O
-4.797 -0.545 3.467 O
-6.204 -0.829 -2.556 O
-6.593 -0.714 1.131 O
-4.538 -5.434 2.362 O
-5.697 1.605 -0.469 O
-1.931 -1.948 -1.571 O
-3.624 -2.722 3.895 O
-4.493 -2.639 -2.863 O
-6.337 -2.945 -1.153 O
-7.593 -1.445 3.194 O
-2.882 -0.528 0.362 O
```

=====

No. 3
VASP calculation (SCAN) on a crystal of LiVPO5 relaxed with PBEsol.

Summary:
- E (eV/cell) = -328.65

Cell and atoms, written as POSCAR:
```
LiVPO5
1.0
5.207 0.000 0.000
2.603 6.758 -0.009
2.603 2.411 9.453
Li O P V
4 20 4 4
Cartesian
3.905 1.205 4.726 Li
5.207 4.585 4.722 Li
2.603 0.000 0.000 Li
1.302 3.379 -0.005 Li
2.499 2.513 3.891 O
5.215 7.875 6.181 O
5.499 2.473 5.594 O
3.942 4.609 6.266 O
6.608 4.646 6.157 O
4.915 6.696 3.849 O
5.198 1.294 3.263 O
7.914 6.656 5.553 O
6.471 6.783 1.535 O
3.805 6.819 1.426 O
3.805 4.524 3.286 O
6.471 4.561 3.177 O
5.311 7.097 8.613 O
2.595 3.291 1.459 O
4.915 4.647 0.863 O
6.608 2.350 8.017 O
3.942 2.387 7.908 O
5.499 4.522 8.581 O
7.819 5.878 7.985 O
5.103 2.072 0.831 O
7.869 5.448 6.500 P
5.148 0.863 1.778 P
2.545 3.722 2.943 P
5.265 8.306 7.665 P
5.289 3.498 7.087 V
1.302 1.205 4.726 V
5.124 5.672 2.356 V
3.905 3.379 -0.005 V
```

=====

No. 4
VASP calculation (SCAN) on a crystal of Li2VP2O8 relaxed with PBEsol.

Summary:
- E (eV/cell) = -125.86

Cell and atoms, written as POSCAR:
```
Li2VP2O8
1.0
4.757 -0.012 0.001
1.846 4.384 0.001
0.227 0.150 6.345
Li V P O
2 1 2 8
Cartesian
4.562 3.020 1.773 Li
0.141 0.093 3.301 Li
0.259 0.172 6.285 V
4.478 2.965 4.866 P
2.325 1.539 1.478 P
1.663 1.101 2.735 O
5.269 3.488 6.114 O
1.548 1.025 0.223 O
5.095 3.373 3.563 O
4.412 1.403 4.983 O
3.014 3.514 4.983 O
3.808 1.024 1.367 O
2.430 3.105 1.367 O
```

=====

Calculated values (μB per formula unit) of magnetization for the records, taken in order: 9.00; 2.00; 1.00; 1.00.
Calculated values (meV/atom) of formation energy from raw total energies for the records, taken in order: -2592; -2531; -2591; -2534.